1.
Gd4YLu after structural relaxation, computed with GGA-PBE.

Results
Mass density = 7.47 Mg/m³
SG = F-43m (216)
E_tot = -10.978 eV/atom
Density of states at the Fermi level = 1.903 states/eV/atom
Spin magnetization = 28.75 μB/cell

Unit cell a=6.548 b=6.548 c=6.548 alpha=60.00 beta=60.00 gamma=60.00
Positions (direct):
Gd (0.125, 0.125, 0.125)
Gd (0.125, 0.125, 0.625)
Gd (0.125, 0.625, 0.125)
Gd (0.625, 0.125, 0.125)
Y (0.500, 0.500, 0.500)
Lu (0.750, 0.750, 0.750)

2.
La3Pr4YSe8 after structural relaxation, computed with GGA-PBE.

Results
Mass density = 6.44 Mg/m³
SG = R-3m (166)
E_tot = -6.155 eV/atom
Formation energy (no corrections) = -2918 kJ/mol of formula units
Density of states at the Fermi level = 0.636 states/eV/atom
Spin magnetization = 0.00 μB/cell

Unit cell a=8.521 b=8.521 c=8.521 alpha=60.10 beta=60.10 gamma=60.10
Positions (direct):
La (0.000, 0.500, 0.500)
La (0.500, 0.000, 0.500)
La (0.500, 0.500, 0.000)
Pr (0.000, 0.000, 0.500)
Pr (0.000, 0.500, 0.000)
Pr (0.500, 0.000, 0.000)
Pr (0.500, 0.500, 0.500)
Y (0.000, 0.000, 0.000)
Se (0.243, 0.756, 0.756)
Se (0.244, 0.244, 0.757)
Se (0.244, 0.757, 0.244)
Se (0.249, 0.249, 0.249)
Se (0.751, 0.751, 0.751)
Se (0.756, 0.243, 0.756)
Se (0.756, 0.756, 0.243)
Se (0.757, 0.244, 0.244)

3.
La3InRu after structural relaxation, computed with GGA-PBE.

Results
Mass density = 5.55 Mg/m³
SG = Fd-3m (227)
E_tot = -5.489 eV/atom
Density of states at the Fermi level = 0.473 states/eV/atom
Spin magnetization = 0.00 μB/cell

Unit cell a=10.231 b=10.231 c=10.231 alpha=60.00 beta=60.00 gamma=60.00
Positions (direct):
La (0.080, 0.080, 0.670)
La (0.080, 0.670, 0.080)
La (0.080, 0.670, 0.670)
La (0.330, 0.330, 0.920)
La (0.330, 0.920, 0.330)
La (0.330, 0.920, 0.920)
La (0.670, 0.080, 0.080)
La (0.670, 0.080, 0.670)
La (0.670, 0.670, 0.080)
La (0.920, 0.330, 0.330)
La (0.920, 0.330, 0.920)
La (0.920, 0.920, 0.330)
In (0.000, 0.500, 0.500)
In (0.500, 0.000, 0.500)
In (0.500, 0.500, 0.000)
In (0.500, 0.500, 0.500)
Ru (0.000, 0.000, 0.000)
Ru (0.000, 0.000, 0.500)
Ru (0.000, 0.500, 0.000)
Ru (0.500, 0.000, 0.000)

Question: The lowest mass density belongs to which entry?
Answer: La3InRu